Below is a geometry-optimized GeRuS2N structure, with properties calculated at the PBE level.

a b c (Å): 4.7866 4.7866 3.5460
angles (deg): 90.00 90.00 90.00
Closest atoms and distances in Å follow each position.
Space group P4/mmm (No. 123)
One atom of each set of equivalent atoms:
Ge1 0.0000 0.0000 0.0000 x1  2 N 1.77
Ru1 0.5000 0.5000 0.5000 x1  8 S 2.98
S1 0.0000 0.5000 0.0000 x2  2 Ge 2.39
N1 0.0000 0.0000 0.5000 x1  2 Ge 1.77

Calculated values
* formation energy (no corrections): 1.161 eV per atom
* crystal system: tetragonal
* polymorph energy (0 for the lowest one): 0.7659 eV per atom
* spin magnetization: 3.1 μB per formula unit

Below is a geometry-optimized LiAl3Ga3 structure, with properties calculated at the PBE level.

a b c (Å): 7.2922 7.2922 16.9469
angles (deg): 90.00 90.00 120.00
Closest atoms and distances in Å follow each position.
Space group R-3 (No. 148, hexagonal axes)
One atom of each set of equivalent atoms:
Li1 0.0000 0.0000 0.1678 x6  6 Ga 2.67-2.69
Al1 0.0070 0.3541 0.3786 x18  5 Ga 2.67-2.96, 3 Al 2.86-2.93
Ga1 0.0032 0.3088 0.5522 x18  5 Al 2.67-2.96, 2 Li 2.67-2.69, 2 Ga 2.85

Calculated values
* crystal system: trigonal
* polymorph energy (0 for the lowest one): 0.0000 eV per atom
* E_form: -0.008 eV/atom
* spin magnetization: 0.0 μB per formula unit

Below is a geometry-optimized BC2 structure, with properties calculated at the PBE level.

a b c (Å): 4.2690 7.7724 4.6678
angles (deg): 90.00 106.07 90.00
Closest atoms and distances in Å follow each position.
Space group Cm (No. 8)
One atom of each set of equivalent atoms:
B1 0.0000 0.0000 0.0000 x2  3 C 1.59-1.64
B2 0.0216 0.5000 0.8144 x2  1 C 1.57
B3 0.0506 0.3080 0.0238 x4  3 C 1.61-1.68, 1 B 1.77
C1 0.0189 0.1641 0.4972 x4  4 C 1.53-1.56
C2 0.1267 0.0000 0.3551 x2  3 C 1.52-1.56, 1 B 1.59
C3 0.1472 0.3296 0.3797 x4  3 C 1.53-1.58, 1 B 1.61
C4 0.1592 0.1521 0.8399 x4  1 C 1.55, 3 B 1.63-1.68
C5 0.4969 0.0000 0.4733 x2  3 C 1.52-1.58, 1 B 1.57

Calculated values
* crystal system: monoclinic
* polymorph energy (0 for the lowest one): 0.0904 eV per atom
* E_form: 0.330 eV/atom
* spin magnetization: 0.0 μB per formula unit

Below is a geometry-optimized Mg12Zn6Ru structure, with properties calculated at the PBE level.

a b c (Å): 9.9596 9.9596 12.7263
angles (deg): 90.00 90.00 120.00
Closest atoms and distances in Å follow each position.
Space group R-3 (No. 148, hexagonal axes)
One atom of each set of equivalent atoms:
Mg1 0.0240 0.8415 0.3270 x18  1 Ru 2.79, 4 Zn 2.80-3.01, 4 Mg 2.93-3.08
Mg2 0.0599 0.2097 0.9080 x18  4 Zn 2.87-3.16, 5 Mg 2.99-3.16
Zn1 0.0395 0.6057 0.2054 x18  1 Ru 2.72, 7 Mg 2.80-3.01, 2 Zn 2.85
Ru1 0.0000 0.0000 0.5000 x3  6 Zn 2.72, 6 Mg 2.79

Calculated values
* crystal system: trigonal
* E_form: -0.072 eV/atom
* spin magnetization: 0.0 μB per formula unit